# Re2TcAg (PBE, optimized geometry)
data_Re2TcAg
_symmetry_space_group_name_H-M 'I m m m'
_symmetry_Int_Tables_number 71
_symmetry_space_group_name_Hall '-I 2 2'
_cell_length_a 2.881
_cell_length_b 4.618
_cell_length_c 9.491
_cell_angle_alpha 90.00
_cell_angle_beta 90.00
_cell_angle_gamma 90.00
loop_
_atom_site_label
_atom_site_type_symbol
_atom_site_fract_x
_atom_site_fract_y
_atom_site_fract_z
_atom_site_occupancy
Re1 Re 0.000 0.000 0.228 1
Tc1 Tc 0.000 0.500 0.500 1
Ag1 Ag 0.000 0.500 0.000 1
# ΔE to the lowest computed polymorph: 1.30 eV per formula unit
# Total DFT energy (no corrections): -35.81 eV per formula unit